Zr2AgPd2 | Alexandria via LeMat-Bulk | PBE-GGA | optimized geometry; SG = P4/mbm, No. 127; energy above the most stable polymorph in this dataset = 0.00 eV per formula unit; energy of formation from the pure elements = -0.488 eV per atom; volume = 19.20 Å³/atom
1.0
-2.5958 -3.6161 6.0994
-4.8262 -3.8575 -4.3409
2.3169 -2.4042 -0.4394
Zr Pd Ag
4 4 2
direct
0.1716 0.6716 0.5000 Zr
0.6716 0.8284 0.5000 Zr
0.8284 0.3284 0.5000 Zr
0.3284 0.1716 0.5000 Zr
0.3708 0.8708 0.0000 Pd
0.8708 0.6292 0.0000 Pd
0.6292 0.1292 0.0000 Pd
0.1292 0.3708 0.0000 Pd
0.0000 0.0000 0.0000 Ag
0.5000 0.5000 0.0000 Ag